Here is AlCrCu2 after structural relaxation from Alexandria via LeMat-Bulk. Energies are from PBEsol. Values from VASP.

E_tot = -5.57 eV/atom
ΔH_f (0 K) = 0.176 eV per atom
Mass density = 7.08 g cm⁻³
Fermi-level density of states = 2.53 states/eV/cell

```
&SYSTEM
  ibrav = 0, nat = 4, ntyp = 3
/
ATOMIC_SPECIES
Cr 52.00 Cr.upf
Cu 63.55 Cu.upf
Al 26.98 Al.upf
ATOMIC_POSITIONS crystal
Cr 0.000 0.000 0.000
Cu 0.250 0.250 0.250
Cu 0.750 0.750 0.750
Al 0.500 0.500 0.500
CELL_PARAMETERS angstrom
-1.372 -1.984 -0.884
0.415 -2.361 0.923
-6.113 -0.118 6.022
```